# SCAN ScNbSb2, PBEsol geometry
data_ScNbSb2
_space_group_name_H-M_alt 'F m -3 m'
_space_group_IT_number 225
_space_group_name_Hall '-F 4 2 3'
_cell_length_a 6.894
_cell_length_b 6.894
_cell_length_c 6.894
_cell_angle_alpha 90.00
_cell_angle_beta 90.00
_cell_angle_gamma 90.00
loop_
_atom_site_label
_atom_site_type_symbol
_atom_site_fract_x
_atom_site_fract_y
_atom_site_fract_z
Sc1 Sc 0.000 0.000 0.000
Nb1 Nb 0.000 0.000 0.500
Sb1 Sb 0.250 0.250 0.250
# raw total energy = -2.2677 Ry/atom
# raw formation energy = -0.38 eV per atom

***

# SCAN ScNbSb3, PBEsol geometry
data_ScNbSb3
_space_group_name_H-M_alt 'P m -3 m'
_space_group_IT_number 221
_space_group_name_Hall '-P 4 2 3'
_cell_length_a 5.279
_cell_length_b 5.279
_cell_length_c 5.279
_cell_angle_alpha 90.00
_cell_angle_beta 90.00
_cell_angle_gamma 90.00
loop_
_atom_site_label
_atom_site_type_symbol
_atom_site_fract_x
_atom_site_fract_y
_atom_site_fract_z
Sc1 Sc 0.000 0.000 0.000
Nb1 Nb 0.500 0.500 0.500
Sb1 Sb 0.000 0.000 0.500
# raw total energy = -2.2844 Ry/atom
# raw formation energy = 0.75 eV per atom

***

# SCAN Sc2TaNbSb, PBEsol geometry
data_Sc2TaNbSb
_space_group_name_H-M_alt 'P 4/m m m'
_space_group_IT_number 123
_space_group_name_Hall '-P 4 2'
_cell_length_a 5.060
_cell_length_b 5.060
_cell_length_c 5.044
_cell_angle_alpha 90.00
_cell_angle_beta 90.00
_cell_angle_gamma 90.00
loop_
_atom_site_label
_atom_site_type_symbol
_atom_site_fract_x
_atom_site_fract_y
_atom_site_fract_z
Sc1 Sc 0.000 0.500 0.000
Ta1 Ta 0.000 0.000 0.500
Nb1 Nb 0.500 0.500 0.500
Sb1 Sb 0.000 0.000 0.000
# raw total energy = -2.3547 Ry/atom
# raw formation energy = 1.05 eV per atom

***

# SCAN NbSn2SbSe, PBEsol geometry
data_NbSn2SbSe
_space_group_name_H-M_alt 'P 4/m m m'
_space_group_IT_number 123
_space_group_name_Hall '-P 4 2'
_cell_length_a 5.473
_cell_length_b 5.473
_cell_length_c 5.203
_cell_angle_alpha 90.00
_cell_angle_beta 90.00
_cell_angle_gamma 90.00
loop_
_atom_site_label
_atom_site_type_symbol
_atom_site_fract_x
_atom_site_fract_y
_atom_site_fract_z
Nb1 Nb 0.000 0.000 0.000
Sn1 Sn 0.000 0.500 0.500
Sb1 Sb 0.500 0.500 0.500
Se1 Se 0.500 0.500 0.000
# raw total energy = -2.2952 Ry/atom
# raw formation energy = 1.23 eV per atom

***

# SCAN Nb3SnSb, PBEsol geometry
data_Nb3SnSb
_space_group_name_H-M_alt 'P m -3 m'
_space_group_IT_number 221
_space_group_name_Hall '-P 4 2 3'
_cell_length_a 4.990
_cell_length_b 4.990
_cell_length_c 4.990
_cell_angle_alpha 90.00
_cell_angle_beta 90.00
_cell_angle_gamma 90.00
loop_
_atom_site_label
_atom_site_type_symbol
_atom_site_fract_x
_atom_site_fract_y
_atom_site_fract_z
Nb1 Nb 0.000 0.000 0.500
Sn1 Sn 0.000 0.000 0.000
Sb1 Sb 0.500 0.500 0.500
# raw total energy = -2.4286 Ry/atom
# raw formation energy = 1.47 eV per atom

***

# SCAN Sr3NbSb, PBEsol geometry
data_Sr3NbSb
_space_group_name_H-M_alt 'P m -3 m'
_space_group_IT_number 221
_space_group_name_Hall '-P 4 2 3'
_cell_length_a 6.136
_cell_length_b 6.136
_cell_length_c 6.136
_cell_angle_alpha 90.00
_cell_angle_beta 90.00
_cell_angle_gamma 90.00
loop_
_atom_site_label
_atom_site_type_symbol
_atom_site_fract_x
_atom_site_fract_y
_atom_site_fract_z
Sr1 Sr 0.000 0.000 0.500
Nb1 Nb 0.500 0.500 0.500
Sb1 Sb 0.000 0.000 0.000
# raw total energy = -1.9925 Ry/atom
# raw formation energy = 0.33 eV per atom

***

# SCAN SrNbSb3, PBEsol geometry
data_SrNbSb3
_space_group_name_H-M_alt 'P m -3 m'
_space_group_IT_number 221
_space_group_name_Hall '-P 4 2 3'
_cell_length_a 5.368
_cell_length_b 5.368
_cell_length_c 5.368
_cell_angle_alpha 90.00
_cell_angle_beta 90.00
_cell_angle_gamma 90.00
loop_
_atom_site_label
_atom_site_type_symbol
_atom_site_fract_x
_atom_site_fract_y
_atom_site_fract_z
Sr1 Sr 0.000 0.000 0.000
Nb1 Nb 0.500 0.500 0.500
Sb1 Sb 0.000 0.500 0.500
# raw total energy = -2.4740 Ry/atom
# raw formation energy = -0.22 eV per atom

***

# SCAN SrYNb2Sb, PBEsol geometry
data_SrYNb2Sb
_space_group_name_H-M_alt 'P 4/m m m'
_space_group_IT_number 123
_space_group_name_Hall '-P 4 2'
_cell_length_a 4.848
_cell_length_b 4.848
_cell_length_c 5.702
_cell_angle_alpha 90.00
_cell_angle_beta 90.00
_cell_angle_gamma 90.00
loop_
_atom_site_label
_atom_site_type_symbol
_atom_site_fract_x
_atom_site_fract_y
_atom_site_fract_z
Sr1 Sr 0.000 0.000 0.000
Y1 Y 0.500 0.500 0.500
Nb1 Nb 0.000 0.500 0.000
Sb1 Sb 0.000 0.000 0.500
# raw total energy = -2.1326 Ry/atom
# raw formation energy = 1.71 eV per atom

***

Q: The lowest raw formation energy belongs to which entry?
A: ScNbSb2